Material: HoErAs
Method: DFT, PBE
State: optimized geometry

As for the energy: -5.31 eV per atom.

The space group is F-43m (No. 216) and the conventional cell measures 6.7518, 6.7518 and 6.7518 Å, with angles of 90.00, 90.00 and 90.00 degrees. The distinct sites, in fractional coordinates, are Ho at (0.0000, 0.0000, 0.0000), Er at (0.0000, 0.0000, 0.5000) and As at (0.2500, 0.2500, 0.7500).